First-principles (PBEsol) data for a geometry-optimized TbGe2Pt structure, as listed in the Alexandria database. Values from VASP.

Geometry as Quantum ESPRESSO input:
```
&SYSTEM
  ibrav = 0, nat = 16, ntyp = 3
/
ATOMIC_SPECIES
Tb 158.93 Tb.upf
Ge 72.64 Ge.upf
Pt 195.08 Pt.upf
CELL_PARAMETERS angstrom
-2.149 4.335 8.122
2.149 -4.335 8.122
2.149 4.335 -8.122
ATOMIC_POSITIONS angstrom
Tb 0.000 0.000 3.278
Tb 0.000 2.045 0.000
Tb 0.000 6.625 0.000
Tb 0.000 0.000 12.965
Ge 2.149 0.000 1.206
Ge 2.149 -1.302 4.874
Ge 0.000 0.000 6.918
Ge 2.149 1.302 4.874
Ge 0.000 3.034 3.247
Ge 0.000 0.000 9.326
Ge 0.000 5.637 3.247
Ge 0.000 4.335 6.916
Pt 2.149 2.173 -2.407
Pt 2.149 2.173 2.407
Pt 0.000 2.162 5.715
Pt 0.000 2.162 10.528
```

Calculated values
The value obtained for the formation energy is -360 kJ/mol of formula units. Its crystal system is orthorhombic. As for the calculated total energy: -6.40 eV/atom.

---

First-principles (PBEsol) data for a geometry-optimized NaY2BeS structure, as listed in the Alexandria database. Values from VASP.

Geometry as Quantum ESPRESSO input:
```
&SYSTEM
  ibrav = 0, nat = 5, ntyp = 4
/
ATOMIC_SPECIES
Na 22.99 Na.upf
Y 88.91 Y.upf
Be 9.01 Be.upf
S 32.06 S.upf
CELL_PARAMETERS angstrom
5.473 0.000 0.000
0.000 5.473 0.000
0.000 0.000 3.977
ATOMIC_POSITIONS angstrom
Na 0.000 0.000 0.000
Y 0.000 2.736 0.000
Y 2.736 0.000 0.000
Be 0.000 0.000 1.989
S 2.736 2.736 1.989
```

Calculated values
Its crystal system is tetragonal. As for the calculated total energy: -3.88 eV/atom.

---

First-principles (PBEsol) data for a geometry-optimized BTeSe2N structure, as listed in the Alexandria database. Values from VASP.

Geometry as Quantum ESPRESSO input:
```
&SYSTEM
  ibrav = 0, nat = 5, ntyp = 4
/
ATOMIC_SPECIES
B 10.81 B.upf
Te 127.60 Te.upf
Se 78.96 Se.upf
N 14.01 N.upf
CELL_PARAMETERS angstrom
5.312 0.000 0.000
0.000 5.312 0.000
0.000 0.000 3.902
ATOMIC_POSITIONS angstrom
B 0.000 0.000 0.000
Te 2.656 2.656 1.951
Se 0.000 2.656 1.951
Se 2.656 0.000 1.951
N 2.656 2.656 0.000
```

Calculated values
Its crystal system is tetragonal. As for the calculated total energy: -3.58 eV/atom.

---

First-principles (PBEsol) data for a geometry-optimized Li2InBr structure, as listed in the Alexandria database. Values from VASP.

Geometry as Quantum ESPRESSO input:
```
&SYSTEM
  ibrav = 0, nat = 4, ntyp = 3
/
ATOMIC_SPECIES
Li 6.94 Li.upf
In 114.82 In.upf
Br 79.90 Br.upf
CELL_PARAMETERS angstrom
-1.920 1.920 5.886
1.920 -1.920 5.886
1.920 1.920 -5.886
ATOMIC_POSITIONS angstrom
Li 0.000 0.000 0.000
Li 0.000 1.920 2.943
In 1.920 0.000 2.943
Br 0.000 0.000 5.886
```

Calculated values
Its crystal system is tetragonal. As for the calculated total energy: -2.76 eV/atom.

---

First-principles (PBEsol) data for a geometry-optimized AlNiPt2 structure, as listed in the Alexandria database. Values from VASP.

Geometry as Quantum ESPRESSO input:
```
&SYSTEM
  ibrav = 0, nat = 4, ntyp = 3
/
ATOMIC_SPECIES
Al 26.98 Al.upf
Ni 58.69 Ni.upf
Pt 195.08 Pt.upf
CELL_PARAMETERS angstrom
2.735 -3.447 0.000
2.735 3.447 0.000
0.000 0.000 2.836
ATOMIC_POSITIONS angstrom
Al 0.000 0.000 0.000
Ni 2.735 0.000 0.000
Pt 1.367 1.723 1.418
Pt 1.367 -1.723 1.418
```

Calculated values
The value obtained for the formation energy is -245 kJ/mol of formula units. Its crystal system is orthorhombic. As for the calculated total energy: -6.68 eV/atom.

---

First-principles (PBEsol) data for a geometry-optimized Rb3NiF7 structure, as listed in the Alexandria database. Values from VASP.

Geometry as Quantum ESPRESSO input:
```
&SYSTEM
  ibrav = 0, nat = 22, ntyp = 3
/
ATOMIC_SPECIES
Rb 85.47 Rb.upf
Ni 58.69 Ni.upf
F 19.00 F.upf
CELL_PARAMETERS angstrom
7.892 0.000 0.000
0.000 7.892 0.000
0.000 0.000 5.807
ATOMIC_POSITIONS angstrom
Rb 0.000 0.000 0.000
Rb 1.493 2.452 2.903
Rb 2.452 6.398 2.903
Rb 3.946 3.946 0.000
Rb 5.439 1.493 2.903
Rb 6.398 5.439 2.903
Ni 0.000 3.946 0.000
Ni 3.946 0.000 0.000
F 0.000 0.000 2.903
F 0.884 4.830 1.277
F 0.884 4.830 4.530
F 1.264 2.682 0.000
F 2.682 6.627 0.000
F 3.061 0.884 1.277
F 3.061 0.884 4.530
F 3.946 3.946 2.903
F 4.830 7.007 1.277
F 4.830 7.007 4.530
F 5.210 1.264 0.000
F 6.627 5.210 0.000
F 7.007 3.061 1.277
F 7.007 3.061 4.530
```

Calculated values
Its crystal system is tetragonal. As for the calculated total energy: -4.37 eV/atom.